1.
Density functional theory data (PBE-GGA) for a relaxed Sr2CdTe crystal.

DOS at the Fermi energy in states/eV per cell: 2.5
Total moment in μB per formula unit: 0.7
Energy above the most stable polymorph in this dataset in eV per atom: 0.040
Total DFT energy (no corrections) in eV per atom: -2.71
Uncorrected formation energy in eV per atom: -0.854

Cell lengths 4.5756, 4.5756, 9.0041 Å; angles 75.26, 75.26, 60.01 degrees
Each line ends with the local moment (μB).
Element x y z (fractional)
Cd 0.2500 0.2500 0.2500  0.05
Sr 0.0060 0.0060 0.9823  0.05
Sr 0.4940 0.4940 0.5177  0.05
Te 0.7500 0.7500 0.7500  0.01


2.
Density functional theory data (PBE-GGA) for a relaxed SmTh2MnC4 crystal.

DOS at the Fermi energy in states/eV per cell: 9.2
Total moment in μB per formula unit: 1.1
Energy of formation in eV/atom: -0.023
Total DFT energy (no corrections) in eV per atom: -8.23

Cell lengths 3.6144, 6.2965, 12.4723 Å; angles 90.00, 90.00, 106.68 degrees
Each line ends with the local moment (μB).
Element x y z (fractional)
Sm 0.1026 0.2052 0.7500  0.12
Sm 0.8974 0.7948 0.2500  0.12
Th 0.3666 0.7332 0.5452  0.03
Th 0.6334 0.2668 0.0452  0.03
Th 0.6334 0.2668 0.4548  0.03
Th 0.3666 0.7332 0.9548  0.03
Mn 0.8246 0.6491 0.7500  0.86
Mn 0.1754 0.3509 0.2500  0.86
C 0.2690 0.5380 0.1381  -0.04
C 0.7310 0.4620 0.6381  -0.04
C 0.7310 0.4620 0.8619  -0.04
C 0.2690 0.5380 0.3619  -0.04
C 0.0000 0.0000 0.5000  -0.01
C 0.0000 0.0000 0.0000  -0.01
C 0.3958 0.7917 0.7500  -0.05
C 0.6042 0.2083 0.2500  -0.05


3.
Density functional theory data (PBE-GGA) for a relaxed Pm3Hg crystal.

DOS at the Fermi energy in states/eV per cell: 11.2
Total moment in μB per formula unit: 0.0
Energy above the most stable polymorph in this dataset in eV per atom: 0.064
Energy of formation in eV/atom: -0.157
Total DFT energy (no corrections) in eV per atom: -3.80

Cell lengths 7.0779, 7.0779, 5.5204 Å; angles 90.00, 90.00, 120.00 degrees
Element x y z (fractional)
Pm 0.1748 0.3495 0.2500
Pm 0.6505 0.8252 0.2500
Pm 0.1748 0.8252 0.2500
Pm 0.8252 0.6505 0.7500
Pm 0.3495 0.1748 0.7500
Pm 0.8252 0.1748 0.7500
Hg 0.3333 0.6667 0.7500
Hg 0.6667 0.3333 0.2500


4.
Density functional theory data (PBE-GGA) for a relaxed BaIrOs crystal.

DOS at the Fermi energy in states/eV per cell: 2.8
Total moment in μB per formula unit: 0.0
Energy above the most stable polymorph in this dataset in eV per atom: 0.270
Energy of formation in eV/atom: 0.433
Total DFT energy (no corrections) in eV per atom: -6.91

Cell lengths 6.3306, 6.3306, 6.3306 Å; angles 153.13, 143.37, 46.01 degrees
Element x y z (fractional)
Ir 0.2832 0.2832 0.0000
Os 0.7174 0.7174 0.0000
Ba 0.9995 0.9995 0.0000


5.
Density functional theory data (PBE-GGA) for a relaxed OsW2 crystal.

DOS at the Fermi energy in states/eV per cell: 2.0
Total moment in μB per formula unit: 0.0
Energy above the most stable polymorph in this dataset in eV per atom: 0.118
Energy of formation in eV/atom: 0.120
Total DFT energy (no corrections) in eV per atom: -12.26

Cell lengths 6.3951, 6.3951, 6.3951 Å; angles 154.91, 154.91, 35.78 degrees
Element x y z (fractional)
Os 0.5000 0.5000 0.0000
W 0.1592 0.1592 0.0000
W 0.8408 0.8408 0.0000


6.
Density functional theory data (PBE-GGA) for a relaxed BeIr2Ru crystal.

DOS at the Fermi energy in states/eV per cell: 3.2
Total moment in μB per formula unit: 0.0
Energy of formation in eV/atom: -0.135
Total DFT energy (no corrections) in eV per atom: -7.82

Cell lengths 2.7089, 2.7089, 8.3806 Å; angles 80.70, 80.70, 60.00 degrees
Element x y z (fractional)
Be 0.6662 0.6662 0.0014
Ir 0.0768 0.0768 0.7697
Ir 0.2569 0.2569 0.2293
Ru 0.5001 0.5001 0.4997


7.
Density functional theory data (PBE-GGA) for a relaxed Sr6Rh2Cl crystal.

DOS at the Fermi energy in states/eV per cell: 5.2
Total moment in μB per formula unit: 0.0
Total DFT energy (no corrections) in eV per atom: -3.47
Uncorrected formation energy in eV per atom: -0.512

Cell lengths 4.3358, 8.3424, 10.4265 Å; angles 103.70, 90.00, 105.06 degrees
Element x y z (fractional)
Sr 0.3005 0.6010 0.8696
Sr 0.6995 0.3991 0.1304
Sr 0.9598 0.9196 0.1878
Sr 0.6465 0.2930 0.5540
Sr 0.0402 0.0804 0.8122
Sr 0.3535 0.7070 0.4460
Rh 0.6657 0.3315 0.8280
Rh 0.3342 0.6685 0.1720
Cl 0.0000 0.0000 0.5000


8.
Density functional theory data (PBE-GGA) for a relaxed ZrTl2Fe crystal.

DOS at the Fermi energy in states/eV per cell: 2.9
Total moment in μB per formula unit: 2.6
Energy above the most stable polymorph in this dataset in eV per atom: 0.128
Energy of formation in eV/atom: 0.322
Total DFT energy (no corrections) in eV per atom: -5.11

Cell lengths 3.2067, 3.2067, 7.9456 Å; angles 90.00, 90.00, 90.14 degrees
Each line ends with the local moment (μB).
Element x y z (fractional)
Fe 0.5000 0.5000 0.7500  2.66
Tl 0.0000 0.0000 0.9741  -0.03
Tl 0.0000 0.0000 0.5259  -0.03
Zr 0.5000 0.5000 0.2500  0.01


9.
Density functional theory data (PBE-GGA) for a relaxed TlV2Tc crystal.

DOS at the Fermi energy in states/eV per cell: 9.2
Total moment in μB per formula unit: 0.0
Energy of formation in eV/atom: 0.663
Total DFT energy (no corrections) in eV per atom: -7.08

Cell lengths 7.1842, 7.1842, 5.7722 Å; angles 51.52, 51.52, 90.00 degrees
Element x y z (fractional)
Tl 0.0000 0.0000 0.0000
Tl 0.7500 0.2500 0.5000
Tc 0.5000 0.5000 0.0000
Tc 0.2500 0.7500 0.5000
V 0.5722 0.1250 0.2500
V 0.1778 0.6250 0.2500
V 0.3750 0.4278 0.7500
V 0.8750 0.8222 0.7500


10.
Density functional theory data (PBE-GGA) for a relaxed BaAg2Hg3 crystal.

DOS at the Fermi energy in states/eV per cell: 9.2
Total moment in μB per formula unit: 0.0
Energy above the most stable polymorph in this dataset in eV per atom: 0.005
Energy of formation in eV/atom: -0.215
Total DFT energy (no corrections) in eV per atom: -1.64

Cell lengths 4.7695, 9.8337, 11.3548 Å; angles 108.09, 90.00, 104.03 degrees
Element x y z (fractional)
Ba 0.1609 0.3218 0.7082
Ba 0.8391 0.6782 0.2918
Ba 0.0000 0.0000 0.0000
Ag 0.2005 0.4010 0.1195
Ag 0.7995 0.5990 0.8805
Ag 0.4769 0.9538 0.2248
Ag 0.5231 0.0462 0.7752
Ag 0.3624 0.7249 0.5474
Ag 0.6375 0.2751 0.4526
Hg 0.0444 0.0888 0.3520
Hg 0.9556 0.9112 0.6480
Hg 0.2146 0.4292 0.3873
Hg 0.7854 0.5708 0.6127
Hg 0.6260 0.2520 0.1881
Hg 0.3740 0.7480 0.8119
Hg 0.5000 0.0000 0.5000
Hg 0.3326 0.6652 0.0492
Hg 0.6674 0.3348 0.9508


11.
Density functional theory data (PBE-GGA) for a relaxed Mg6Cd3Ir crystal.

DOS at the Fermi energy in states/eV per cell: 5.0
Total moment in μB per formula unit: 0.0
Energy above the most stable polymorph in this dataset in eV per atom: 0.000
Energy of formation in eV/atom: -0.172
Total DFT energy (no corrections) in eV per atom: -2.29

Cell lengths 4.5877, 8.8420, 10.0735 Å; angles 99.57, 90.00, 90.00 degrees
Element x y z (fractional)
Mg 0.2500 0.4463 0.0974
Mg 0.7500 0.5537 0.9026
Mg 0.2500 0.1368 0.2048
Mg 0.7500 0.8632 0.7952
Mg 0.2500 0.6672 0.6914
Mg 0.7500 0.3328 0.3086
Mg 0.2500 0.2030 0.4928
Mg 0.7500 0.7970 0.5072
Mg 0.2500 0.8751 0.3411
Mg 0.7500 0.1249 0.6589
Mg 0.2500 0.0576 0.8868
Mg 0.7500 0.9424 0.1132
Cd 0.2500 0.5433 0.4007
Cd 0.7500 0.4567 0.5993
Cd 0.2500 0.3503 0.7848
Cd 0.7500 0.6497 0.2152
Cd 0.2500 0.7572 0.0026
Cd 0.7500 0.2428 0.9974
Ir 0.2500 0.9469 0.6229
Ir 0.7500 0.0531 0.3771


Which of these has the lowest DOS at the Fermi energy? OsW2